{"formula": "PaAsPbN", "functional": "PBE", "state": "relaxed", "lattice": [[1.991, 1.149, 13.104], [-1.991, 1.149, 13.104], [0.000, -2.299, 13.104]], "species": ["Pa", "Pa", "As", "As", "Pb", "Pb", "N", "N"], "frac_coords": [[0.131, 0.131, 0.131], [0.869, 0.869, 0.869], [0.416, 0.416, 0.416], [0.584, 0.584, 0.584], [0.297, 0.297, 0.297], [0.703, 0.703, 0.703], [0.188, 0.188, 0.188], [0.812, 0.812, 0.812]], "e_form_raw_mev_per_atom": -954, "final_energy_ev_per_atom": -7.499}